1.
{
  "formula": "MgBi4O9",
  "functional": "SCAN",
  "state": "single point on PBEsol structure",
  "total_energy_ev_per_atom": -27.99,
  "e_form_raw_ev_per_atom": -1.178,
  "density_kg_m3": 8331,
  "total_magnetization_mub_per_fu": 0.0,
  "lattice_angstrom": [[8.1010, 0.0000, 0.0000], [0.0000, 5.6521, 0.0000], [-7.0743, 0.0000, 8.7429]],
  "species": ["Mg", "Mg", "Bi", "Bi", "Bi", "Bi", "Bi", "Bi", "Bi", "Bi", "O", "O", "O", "O", "O", "O", "O", "O", "O", "O", "O", "O", "O", "O", "O", "O", "O", "O"],
  "fractional_positions": [[0.0000, 0.2261, 0.2500], [0.0000, 0.7739, 0.7500], [0.2027, 0.1937, 0.0596], [0.2027, 0.8063, 0.5596], [0.3913, 0.2654, 0.8601], [0.3913, 0.7346, 0.3601], [0.6087, 0.2654, 0.6399], [0.6087, 0.7346, 0.1399], [0.7973, 0.1937, 0.4404], [0.7973, 0.8063, 0.9404], [0.1204, 0.1254, 0.6247], [0.1204, 0.8746, 0.1247], [0.1751, 0.3911, 0.2018], [0.1751, 0.6089, 0.7018], [0.2602, 0.0185, 0.4273], [0.2602, 0.9815, 0.9273], [0.2983, 0.4614, 0.9854], [0.2983, 0.5386, 0.4854], [0.5000, 0.0476, 0.2500], [0.5000, 0.9524, 0.7500], [0.7017, 0.4614, 0.5146], [0.7017, 0.5386, 0.0146], [0.7398, 0.0185, 0.0727], [0.7398, 0.9815, 0.5727], [0.8249, 0.3911, 0.2982], [0.8249, 0.6089, 0.7982], [0.8796, 0.1254, 0.8753], [0.8796, 0.8746, 0.3753]]
}


2.
{
  "formula": "MgTiBiP3O12",
  "functional": "SCAN",
  "state": "single point on PBEsol structure",
  "total_energy_ev_per_atom": -13.92,
  "e_form_raw_ev_per_atom": -2.501,
  "density_kg_m3": 4207,
  "total_magnetization_mub_per_fu": 0.0,
  "lattice_angstrom": [[4.4504, 2.5694, 6.5137], [-4.4504, 2.5694, 6.5137], [0.0000, -5.1389, 6.5137]],
  "species": ["Mg", "Mg", "Ti", "Ti", "Bi", "Bi", "P", "P", "P", "P", "P", "P", "O", "O", "O", "O", "O", "O", "O", "O", "O", "O", "O", "O", "O", "O", "O", "O", "O", "O", "O", "O", "O", "O", "O", "O"],
  "fractional_positions": [[0.0000, 0.0000, 0.0000], [0.5000, 0.5000, 0.5000], [0.1559, 0.1559, 0.1559], [0.6559, 0.6559, 0.6559], [0.3373, 0.3373, 0.3373], [0.8373, 0.8373, 0.8373], [0.0752, 0.7654, 0.4365], [0.2654, 0.5752, 0.9365], [0.4365, 0.0752, 0.7654], [0.5752, 0.9365, 0.2654], [0.7654, 0.4365, 0.0752], [0.9365, 0.2654, 0.5752], [0.0149, 0.2120, 0.3872], [0.0684, 0.3446, 0.5781], [0.0746, 0.9164, 0.2441], [0.0781, 0.8446, 0.5684], [0.0983, 0.7537, 0.9200], [0.2120, 0.3872, 0.0149], [0.2441, 0.0746, 0.9164], [0.2537, 0.5983, 0.4200], [0.3446, 0.5781, 0.0684], [0.3872, 0.0149, 0.2120], [0.4164, 0.5746, 0.7441], [0.4200, 0.2537, 0.5983], [0.5149, 0.8872, 0.7120], [0.5684, 0.0781, 0.8446], [0.5746, 0.7441, 0.4164], [0.5781, 0.0684, 0.3446], [0.5983, 0.4200, 0.2537], [0.7120, 0.5149, 0.8872], [0.7441, 0.4164, 0.5746], [0.7537, 0.9200, 0.0983], [0.8446, 0.5684, 0.0781], [0.8872, 0.7120, 0.5149], [0.9164, 0.2441, 0.0746], [0.9200, 0.0983, 0.7537]]
}